(1)
Ac3HIr2: optimized geometry, PBE-GGA.

Cell lengths 7.3722, 7.3722, 8.6460 Å; angles 107.09, 107.09, 47.88 degrees
With the nearest neighbours (Å) after each atom.
Positions (direct):
Ac 0.0018 0.9982 0.7500  2 H 2.95-3.03, 4 Ir 2.97
Ac 0.3268 0.3268 0.4140  4 Ir 3.00-3.04, 2 H 3.09-3.10
Ac 0.3268 0.3268 0.9140  4 Ir 3.00-3.04, 2 H 3.09-3.10
Ac 0.6732 0.6732 0.0860  4 Ir 3.00-3.04, 2 H 3.09-3.10
Ac 0.6732 0.6732 0.5860  4 Ir 3.00-3.04, 2 H 3.09-3.10
Ac 0.9982 0.0018 0.2500  2 H 2.95-3.03, 4 Ir 2.97
H 0.4956 0.5044 0.7500  6 Ac 2.95-3.10
H 0.5044 0.4956 0.2500  6 Ac 2.95-3.10
Ir 0.1595 0.1596 0.5800  6 Ac 2.97-3.04
Ir 0.1596 0.1595 0.0800  6 Ac 2.97-3.04
Ir 0.8404 0.8405 0.9200  6 Ac 2.97-3.04
Ir 0.8405 0.8404 0.4200  6 Ac 2.97-3.04

Computed properties:
Energy in Ry per atom: -0.452
Calculated density in g/cm³: 10.73



(2)
AcHfIn: optimized geometry, PBE-GGA.

Cell lengths 5.2131, 5.2131, 5.2131 Å; angles 60.00, 60.00, 60.00 degrees
With the nearest neighbours (Å) after each atom.
Positions (direct):
Ac 0.0000 0.0000 0.0000  4 In 3.19
Hf 0.5000 0.5000 0.5000  4 In 3.19
In 0.2500 0.2500 0.2500  4 Hf 3.19, 4 Ac 3.19

Computed properties:
Energy in Ry per atom: -0.382
Calculated density in g/cm³: 8.62



(3)
AcHfIn: optimized geometry, PBE-GGA.

Cell lengths 5.3524, 5.3524, 5.3524 Å; angles 60.00, 60.00, 60.00 degrees
With the nearest neighbours (Å) after each atom.
Positions (direct):
Ac 0.0000 0.0000 0.0000  4 Hf 3.28, 4 In 3.28
Hf 0.7500 0.7500 0.7500  4 Ac 3.28
In 0.2500 0.2500 0.2500  4 Ac 3.28

Computed properties:
Energy in Ry per atom: -0.342
Calculated density in g/cm³: 7.97



(4)
Ac2Hf2In: optimized geometry, PBE-GGA.

Cell lengths 3.5676, 3.5676, 27.5723 Å; angles 90.00, 90.00, 120.00 degrees
With the nearest neighbours (Å) after each atom.
Positions (direct):
Ac 0.3333 0.6667 0.1439  3 Hf 3.51, 6 Ac 3.57, 3 In 3.58
Ac 0.3333 0.6667 0.3561  3 Hf 3.51, 6 Ac 3.57, 3 In 3.58
Ac 0.6667 0.3333 0.6439  3 Hf 3.51, 6 Ac 3.57, 3 In 3.58
Ac 0.6667 0.3333 0.8561  3 Hf 3.51, 6 Ac 3.57, 3 In 3.58
Hf 0.3333 0.6667 0.5410  3 Hf 3.06
Hf 0.3333 0.6667 0.9590  3 Hf 3.06
Hf 0.6667 0.3333 0.0410  3 Hf 3.06
Hf 0.6667 0.3333 0.4590  3 Hf 3.06
In 0.0000 0.0000 0.2500  6 In 3.57, 6 Ac 3.58
In 0.0000 0.0000 0.7500  6 In 3.57, 6 Ac 3.58

Computed properties:
Energy in Ry per atom: -0.438
Calculated density in g/cm³: 10.12



(5)
LiAcHf: optimized geometry, PBE-GGA.

Cell lengths 5.0954, 5.0954, 5.0954 Å; angles 60.00, 60.00, 60.00 degrees
With the nearest neighbours (Å) after each atom.
Positions (direct):
Li 0.0000 0.0000 0.0000  4 Ac 3.12
Ac 0.7500 0.7500 0.7500  4 Li 3.12, 4 Hf 3.12
Hf 0.5000 0.5000 0.5000  4 Ac 3.12

Computed properties:
Energy in Ry per atom: -0.300
Calculated density in g/cm³: 7.32



(6)
LiAcHf: optimized geometry, PBE-GGA.

Cell lengths 5.0336, 5.0336, 5.0336 Å; angles 60.00, 60.00, 60.00 degrees
With the nearest neighbours (Å) after each atom.
Positions (direct):
Li 0.0000 0.0000 0.0000  4 Hf 3.08
Ac 0.5000 0.5000 0.5000  4 Hf 3.08
Hf 0.7500 0.7500 0.7500  4 Ac 3.08, 4 Li 3.08

Computed properties:
Energy in Ry per atom: -0.313
Calculated density in g/cm³: 7.59



(7)
AcHfNO: optimized geometry, PBE-GGA.

Cell lengths 5.9270, 4.1053, 5.8526 Å; angles 90.00, 90.00, 90.00 degrees
With the nearest neighbours (Å) after each atom.
Positions (direct):
Ac 0.2500 0.0000 0.2453  1 O 2.64, 4 N 2.91
Ac 0.7500 0.0000 0.7547  1 O 2.64, 4 N 2.91
Hf 0.2500 0.5000 0.7542  2 N 2.07, 2 O 2.08
Hf 0.7500 0.5000 0.2458  2 N 2.07, 2 O 2.08
N 0.0000 0.5000 0.0000  2 Hf 2.07
N 0.5000 0.5000 0.0000  2 Hf 2.07
O 0.2500 0.0000 0.6972  2 Hf 2.08
O 0.7500 0.0000 0.3028  2 Hf 2.08

Computed properties:
Energy in Ry per atom: -0.651
Calculated density in g/cm³: 10.16



(8)
AcHfNO: optimized geometry, PBE-GGA.

Cell lengths 4.2543, 4.2543, 9.0767 Å; angles 90.00, 90.00, 90.00 degrees
With the nearest neighbours (Å) after each atom.
Positions (direct):
Ac 0.2500 0.2500 0.1383  4 O 2.47
Ac 0.7500 0.7500 0.8617  4 O 2.47
Hf 0.2500 0.7500 0.5000  4 N 2.17
Hf 0.7500 0.2500 0.5000  4 N 2.17
N 0.2500 0.2500 0.4509  4 Hf 2.17
N 0.7500 0.7500 0.5491  4 Hf 2.17
O 0.2500 0.7500 0.0000  4 Ac 2.47
O 0.7500 0.2500 0.0000  4 Ac 2.47

Computed properties:
Energy in Ry per atom: -0.655
Calculated density in g/cm³: 8.80



(9)
AcHfNO: optimized geometry, PBE-GGA.

Cell lengths 6.8427, 7.6944, 5.5763 Å; angles 90.00, 90.00, 90.00 degrees
With the nearest neighbours (Å) after each atom.
Positions (direct):
Ac 0.0625 0.1362 0.0000  3 O 2.47-2.59
Ac 0.4375 0.1362 0.5000  3 O 2.47-2.59
Ac 0.5625 0.8638 0.0000  3 O 2.47-2.59
Ac 0.9375 0.8638 0.5000  3 O 2.47-2.59
Hf 0.1059 0.6222 0.9932  1 O 2.06, 3 N 2.09-2.19
Hf 0.3941 0.6222 0.4932  1 O 2.06, 3 N 2.09-2.19
Hf 0.6059 0.3778 0.9932  1 O 2.06, 3 N 2.09-2.19
Hf 0.8941 0.3778 0.4932  1 O 2.06, 3 N 2.09-2.19
N 0.1072 0.5480 0.6331  3 Hf 2.09-2.19
N 0.3928 0.5480 0.1331  3 Hf 2.09-2.19
N 0.6072 0.4520 0.6331  3 Hf 2.09-2.19
N 0.8928 0.4520 0.1331  3 Hf 2.09-2.19
O 0.0803 0.1689 0.4625  1 Hf 2.06
O 0.4197 0.1689 0.9625  1 Hf 2.06
O 0.5803 0.8311 0.4625  1 Hf 2.06
O 0.9197 0.8311 0.9625  1 Hf 2.06

Computed properties:
Energy in Ry per atom: -0.644
Calculated density in g/cm³: 9.85



(10)
AcHfNO: optimized geometry, PBE-GGA.

Cell lengths 4.6403, 4.6403, 6.3390 Å; angles 90.00, 90.00, 90.00 degrees
With the nearest neighbours (Å) after each atom.
Positions (direct):
Ac 0.2500 0.7500 0.0000  4 N 2.55
Ac 0.7500 0.2500 0.0000  4 N 2.55
Hf 0.2500 0.2500 0.4755  1 N 1.96
Hf 0.7500 0.7500 0.5245  1 N 1.96
N 0.2500 0.2500 0.1669  1 Hf 1.96
N 0.7500 0.7500 0.8330  1 Hf 1.96
O 0.2500 0.7500 0.5000  4 Hf 2.33
O 0.7500 0.2500 0.5000  4 Hf 2.33

Computed properties:
Energy in Ry per atom: -0.619
Calculated density in g/cm³: 10.60



(11)
AcHfNO: optimized geometry, PBE-GGA.

Cell lengths 4.2251, 5.7961, 5.7205 Å; angles 90.00, 90.00, 90.00 degrees
With the nearest neighbours (Å) after each atom.
Positions (direct):
Ac 0.0000 0.2427 0.0000  2 N 2.57-2.86
Ac 0.0000 0.7573 0.5000  2 N 2.57-2.86
Hf 0.5000 0.2434 0.5013  2 O 2.06-2.07, 2 N 2.13
Hf 0.5000 0.7566 0.0013  2 O 2.06-2.07, 2 N 2.13
N 0.0000 0.2004 0.5016  2 Hf 2.13
N 0.0000 0.7996 0.0016  2 Hf 2.13
O 0.5000 0.4943 0.7583  2 Hf 2.06-2.07
O 0.5000 0.5057 0.2583  2 Hf 2.06-2.07

Computed properties:
Energy in Ry per atom: -0.650
Calculated density in g/cm³: 10.32



(12)
NaAcHf: optimized geometry, PBE-GGA.

Cell lengths 5.3669, 5.3669, 5.3669 Å; angles 60.00, 60.00, 60.00 degrees
With the nearest neighbours (Å) after each atom.
Positions (direct):
Na 0.0000 0.0000 0.0000  4 Hf 3.29
Ac 0.5000 0.5000 0.5000  4 Hf 3.29
Hf 0.7500 0.7500 0.7500  4 Ac 3.29, 4 Na 3.29

Computed properties:
Energy in Ry per atom: -0.287
Calculated density in g/cm³: 6.51



- Which of these has the lowest energy?
  number 8